Y3HgO after structural relaxation. Source: Alexandria, functional PBE.

Results
* magnetic moment: 0.0 μB/cell
* uncorrected formation energy: -1.35 eV per atom
* energy relative to the lowest polymorph listed for this composition: 50 meV/atom
* DFT total energy: -0.4617 Ry/atom

Unit cell a=6.6560 b=6.6821 c=6.7661 alpha=100.80 beta=79.59 gamma=60.96
Fractional positions:
Y  0.0894  0.4071  0.8060
Hg  0.5109  0.4135  0.5132
O  0.3185  0.2358  0.0061
Y  0.5127  0.8474  0.7975
Y  0.0447  0.8950  0.5396
O  0.8185  0.7358  0.5061
Y  0.5894  0.9070  0.3060
Y  0.0127  0.3474  0.2975
Y  0.5448  0.3950  0.0396
Hg  0.0110  0.9135  0.0133

LiZn3Ga after structural relaxation. Source: Alexandria, functional PBE.

Results
* E_form: 6.472 kcal/mol of atoms
* magnetic moment: 0.0 μB/cell
* energy relative to the lowest polymorph listed for this composition: 398 meV/atom
* DFT total energy: -0.1082 Ry/atom

Unit cell a=4.8422 b=4.8422 c=4.8422 alpha=90.00 beta=90.00 gamma=90.00
Fractional positions:
Ga  0.0000  0.0000  0.0000
Zn  0.0000  0.0000  0.5000
Li  0.5000  0.5000  0.5000
Zn  0.0000  0.5000  0.0000
Zn  0.5000  0.0000  0.0000

MnBeMo after structural relaxation. Source: Alexandria, functional PBE.

Results
* E_form: 0.412 kcal/mol of atoms
* magnetic moment: 0.0 μB/cell
* energy relative to the lowest polymorph listed for this composition: 164 meV/atom
* DFT total energy: -0.5800 Ry/atom

Unit cell a=4.5188 b=4.5188 c=4.5188 alpha=141.74 beta=141.74 gamma=55.23
Fractional positions:
Mn  0.3430  0.3430  0.0000
Be  0.9884  0.9884  0.0000
Mo  0.6686  0.6686  0.0000

Pm3Sm3Y8 after structural relaxation. Source: Alexandria, functional PBE.

Results
* E_form: 2.639 kcal/mol of atoms
* magnetic moment: 0.0 μB/cell
* DFT total energy: -0.4122 Ry/atom

Unit cell a=5.7173 b=9.7772 c=9.7772 alpha=102.59 beta=73.00 gamma=73.00
Fractional positions:
Pm  0.0000  0.8158  0.1842
Y  0.1597  0.4430  0.2375
Sm  0.5000  0.5000  0.5000
Y  0.6603  0.5601  0.1193
Y  0.8403  0.5570  0.7625
Y  0.1597  0.2375  0.4430
Pm  0.0000  0.1842  0.8158
Y  0.3397  0.4399  0.8807
Y  0.8403  0.7625  0.5570
Y  0.6603  0.1193  0.5601
Sm  0.8010  0.1990  0.1990
Sm  0.1990  0.8010  0.8010
Y  0.3397  0.8807  0.4399
Pm  0.5000  0.0000  0.0000